1.
# CePm2Pu3Te6

A geometry-optimized CePm2Pu3Te6 structure (GGA-PBE, Alexandria via LeMat-Bulk).

a = 4.1809 Å, b = 10.4916 Å, c = 12.0382 Å
α = 131.34°, β = 100.00°, γ = 90.00°
Last column: magnetic moment on the atom in μB.
Fractional positions:
1 Ce 0.5000 0.0000 0.0000  1.18
2 Pm 0.8451 0.0602 0.6902  0.09
3 Pm 0.1549 0.9398 0.3098  0.09
4 Pu 0.5000 0.5000 0.0000  5.50
5 Pu 0.7943 0.4065 0.5887  5.56
6 Pu 0.2057 0.5935 0.4113  5.56
7 Te 0.6721 0.7530 0.3443  -0.04
8 Te 0.8448 0.7656 0.6895  -0.06
9 Te 0.3279 0.2470 0.6557  -0.04
10 Te 0.0199 0.2968 0.0398  -0.06
11 Te 0.9801 0.7032 0.9602  -0.06
12 Te 0.1552 0.2344 0.3105  -0.06

=====

2.
# Ce3PmPu2Te6

A geometry-optimized Ce3PmPu2Te6 structure (GGA-PBE, Alexandria via LeMat-Bulk).

a = 7.6886 Å, b = 7.6886 Å, c = 7.8209 Å
α = 99.43°, β = 99.43°, γ = 120.01°
Last column: magnetic moment on the atom in μB.
Fractional positions:
1 Ce 0.1652 0.8348 0.5000  0.88
2 Ce 0.8348 0.1652 0.5000  0.88
3 Ce 0.5000 0.5000 0.5000  0.88
4 Pm 0.0000 0.0000 0.0000  -0.04
5 Pu 0.3331 0.6669 0.0000  -5.51
6 Pu 0.6669 0.3331 0.0000  -5.51
7 Te 0.9179 0.5822 0.7541  0.02
8 Te 0.7456 0.7456 0.2447  0.02
9 Te 0.0821 0.4178 0.2459  0.02
10 Te 0.5822 0.9179 0.7541  0.02
11 Te 0.2544 0.2544 0.7553  0.02
12 Te 0.4178 0.0821 0.2459  0.02

=====

3.
# Ce3Pm2PuTe6

A geometry-optimized Ce3Pm2PuTe6 structure (GGA-PBE, Alexandria via LeMat-Bulk).

a = 4.4541 Å, b = 8.9934 Å, c = 10.0274 Å
α = 103.52°, β = 102.83°, γ = 90.00°
Last column: magnetic moment on the atom in μB.
Fractional positions:
1 Ce 0.5000 0.5000 0.0000  1.01
2 Ce 0.8325 0.1663 0.6649  1.01
3 Ce 0.1675 0.8337 0.3351  1.01
4 Pm 0.8329 0.6657 0.6658  0.02
5 Pm 0.1671 0.3343 0.3342  0.02
6 Pu 0.5000 0.0000 0.0000  5.55
7 Te 0.3351 0.9160 0.6702  -0.03
8 Te 0.6669 0.5824 0.3338  -0.01
9 Te 0.6649 0.0840 0.3298  -0.03
10 Te 0.0003 0.2458 0.0005  -0.04
11 Te 0.9997 0.7542 0.9995  -0.04
12 Te 0.3331 0.4176 0.6662  -0.01

=====

Q: Which E_form (uncorrected) values were calculated for the entries above? A: -1.08 -1.29 -1.35, in eV/atom.
Q: Which volume values were calculated for the entries above? A: 385.7 378.2 380.2, in Å³ per cell.
Q: Which DOS(E_F) values were calculated for the entries above? A: 40.5 41.2 31.2, in states/eV per cell.